Entry 1:
First-principles (PBE) data for a relaxed structure of Ca5MgHg4, as listed in Alexandria via LeMat-Bulk.

Its formation energy is -0.459 eV per atom. As for the calculated total energy: -1.74 eV per atom. The total moment is 0.000 μB/atom.

The structure belongs to space group P4/mmm (No. 123); the cell edges are 3.782, 3.782 and 19.486 Å and the angles 90.00°, 90.00° and 90.00°. The inequivalent atoms are Ca at (0.000, 0.000, 0.000), Ca at (0.000, 0.000, 0.196), Ca at (0.000, 0.000, 0.389), Mg at (0.500, 0.500, 0.500), Hg at (0.500, 0.500, 0.098) and Hg at (0.500, 0.500, 0.296).

---

Entry 2:
First-principles (PBE) data for a relaxed structure of Ca8Mg2Hg, as listed in Alexandria via LeMat-Bulk.

Its formation energy is -0.110 eV per atom. As for the calculated total energy: -1.88 eV per atom. The total moment is 0.000 μB/atom.

The structure belongs to space group C2/m (No. 12); the cell edges are 19.202, 5.680 and 7.549 Å and the angles 90.00°, 108.69° and 90.00°. The inequivalent atoms are Ca at (0.019, 0.000, 0.281), Ca at (0.096, 0.500, 0.936), Ca at (0.156, 0.500, 0.455), Ca at (0.201, 0.000, 0.786), Mg at (0.181, 0.000, 0.207) and Hg at (0.000, 0.500, 0.500).

---

Entry 3:
First-principles (PBE) data for a relaxed structure of CaMg6Hg12, as listed in Alexandria via LeMat-Bulk.

Its formation energy is -0.140 eV per atom. As for the calculated total energy: -0.94 eV per atom. The total moment is 0.000 μB/atom.

The structure belongs to space group R-3m (No. 166, hexagonal axes); the cell edges are 13.2911, 13.2911 and 9.2880 Å and the angles 90.00°, 90.00° and 120.00°. The inequivalent atoms are Ca at (0.0000, 0.0000, 0.0000), Mg at (0.0590, 0.5295, 0.2344), Hg at (0.0000, 0.3857, 0.5000) and Hg at (0.0808, 0.1617, 0.2886).

---

Entry 4:
First-principles (PBE) data for a relaxed structure of CaMg4Hg8, as listed in Alexandria via LeMat-Bulk.

Its formation energy is -0.221 eV per atom. As for the calculated total energy: -1.05 eV per atom. The total moment is 0.000 μB/atom.

The structure belongs to space group I4/mmm (No. 139); the cell edges are 9.846, 9.846 and 6.278 Å and the angles 90.00°, 90.00° and 90.00°. The inequivalent atoms are Ca at (0.000, 0.000, 0.000), Mg at (0.250, 0.250, 0.250), Hg at (0.000, 0.220, 0.500) and Hg at (0.000, 0.330, 0.000).

---

Entry 5:
First-principles (PBE) data for a relaxed structure of CaMg2HgN, as listed in Alexandria via LeMat-Bulk.

As for the calculated total energy: -3.26 eV per atom. The total moment is 0.000 μB/atom.

The structure belongs to space group P4/mmm (No. 123); the cell edges are 4.398, 4.398 and 4.887 Å and the angles 90.00°, 90.00° and 90.00°. The inequivalent atoms are Ca at (0.000, 0.000, 0.000), Mg at (0.000, 0.500, 0.500), Hg at (0.500, 0.500, 0.000) and N at (0.000, 0.000, 0.500).

---

Entry 6:
First-principles (PBE) data for a relaxed structure of CaNd2MgHg4, as listed in Alexandria via LeMat-Bulk.

Its formation energy is -0.496 eV per atom. As for the calculated total energy: -2.29 eV per atom. The total moment is 0.000 μB/atom.

The structure belongs to space group R-3m (No. 166, hexagonal axes); the cell edges are 5.2749, 5.2749 and 26.0362 Å and the angles 90.00°, 90.00° and 120.00°. The inequivalent atoms are Ca at (0.0000, 0.0000, 0.0000), Nd at (0.0000, 0.0000, 0.2463), Mg at (0.0000, 0.0000, 0.5000), Hg at (0.0000, 0.0000, 0.1248) and Hg at (0.0000, 0.0000, 0.3741).

---

Entry 7:
First-principles (PBE) data for a relaxed structure of CaNdMg2Hg4, as listed in Alexandria via LeMat-Bulk.

Its formation energy is -0.446 eV per atom. As for the calculated total energy: -1.84 eV per atom. The total moment is 0.000 μB/atom.

The structure belongs to space group R-3m (No. 166, hexagonal axes); the cell edges are 5.1264, 5.1264 and 25.5515 Å and the angles 90.00°, 90.00° and 120.00°. The inequivalent atoms are Ca at (0.0000, 0.0000, 0.0000), Nd at (0.0000, 0.0000, 0.5000), Mg at (0.0000, 0.0000, 0.2501), Hg at (0.0000, 0.0000, 0.1224) and Hg at (0.0000, 0.0000, 0.3741).

---

Entry 8:
First-principles (PBE) data for a relaxed structure of CaMg2NiHg, as listed in Alexandria via LeMat-Bulk.

Its formation energy is -0.110 eV per atom. As for the calculated total energy: -2.37 eV per atom. The total moment is 0.000 μB/atom.

The structure belongs to space group P4/mmm (No. 123); the cell edges are 4.840, 4.840 and 5.076 Å and the angles 90.00°, 90.00° and 90.00°. The inequivalent atoms are Ca at (0.000, 0.000, 0.000), Mg at (0.000, 0.500, 0.500), Ni at (0.500, 0.500, 0.500) and Hg at (0.500, 0.500, 0.000).

---

Entry 9:
First-principles (PBE) data for a relaxed structure of CaMg2HgO, as listed in Alexandria via LeMat-Bulk.

As for the calculated total energy: -3.21 eV per atom. The total moment is 0.000 μB/atom.

The structure belongs to space group P4/mmm (No. 123); the cell edges are 4.382, 4.382 and 4.842 Å and the angles 90.00°, 90.00° and 90.00°. The inequivalent atoms are Ca at (0.000, 0.000, 0.000), Mg at (0.000, 0.500, 0.500), Hg at (0.500, 0.500, 0.000) and O at (0.000, 0.000, 0.500).

---

Entry 10:
First-principles (PBE) data for a relaxed structure of Ca2MgHgO, as listed in Alexandria via LeMat-Bulk.

As for the calculated total energy: -3.45 eV per atom. The total moment is 0.000 μB/atom.

The structure belongs to space group P4/mmm (No. 123); the cell edges are 4.914, 4.914 and 4.312 Å and the angles 90.00°, 90.00° and 90.00°. The inequivalent atoms are Ca at (0.000, 0.500, 0.000), Mg at (0.000, 0.000, 0.500), Hg at (0.500, 0.500, 0.500) and O at (0.000, 0.000, 0.000).

---

Entry 11:
First-principles (PBE) data for a relaxed structure of Ca2MgHgP, as listed in Alexandria via LeMat-Bulk.

Its formation energy is -0.514 eV per atom. As for the calculated total energy: -2.78 eV per atom. The total moment is 0.000 μB/atom.

The structure belongs to space group P4/mmm (No. 123); the cell edges are 5.483, 5.483 and 4.872 Å and the angles 90.00°, 90.00° and 90.00°. The inequivalent atoms are Ca at (0.000, 0.500, 0.000), Mg at (0.000, 0.000, 0.500), Hg at (0.500, 0.500, 0.500) and P at (0.000, 0.000, 0.000).

---

Entry 12:
First-principles (PBE) data for a relaxed structure of CaMgHgPb, as listed in Alexandria via LeMat-Bulk.

Its formation energy is -0.395 eV per atom. As for the calculated total energy: -2.30 eV per atom. The total moment is 0.000 μB/atom.

The structure belongs to space group F-43m (No. 216); the cell edges are 7.476, 7.476 and 7.476 Å and the angles 90.00°, 90.00° and 90.00°. The inequivalent atoms are Ca at (0.000, 0.000, 0.000), Mg at (0.000, 0.000, 0.500), Hg at (0.250, 0.250, 0.250) and Pb at (0.250, 0.250, 0.750).